Rb2PrBO4 after structural relaxation. Source: Alexandria, functional PBE.

Cell lengths 13.6233, 12.6079, 6.3949 Å; angles 84.93, 67.20, 27.88 degrees
Last column: nearest neighbours and their distance in Å.
Fractional positions:
Rb 0.0596 0.0596 0.6904  4 O 3.03-3.22
Rb 0.3096 0.3096 0.9404  4 O 3.03-3.22
Rb 0.6904 0.6904 0.0596  4 O 3.03-3.22
Rb 0.9404 0.9404 0.3096  4 O 3.03-3.22
Pr 0.1250 0.1250 0.1250  4 O 2.23
Pr 0.8750 0.8750 0.8750  4 O 2.23
B 0.3750 0.3750 0.3750  4 O 1.54
B 0.6250 0.6250 0.6250  4 O 1.54
O 0.1005 0.5779 0.4897  1 B 1.54
O 0.3319 0.4897 0.5779  1 B 1.54
O 0.4221 0.8995 0.6681  1 B 1.54
O 0.4897 0.3319 0.1005  1 B 1.54
O 0.5103 0.6681 0.8995  1 B 1.54
O 0.5779 0.1005 0.3319  1 B 1.54
O 0.6681 0.5103 0.4221  1 B 1.54
O 0.8995 0.4221 0.5103  1 B 1.54

Calculated values
Its crystal system is orthorhombic. For the total magnetization, the calculation gives 0.00 μB/f.u.

=====

ZnSnCl after structural relaxation. Source: Alexandria, functional PBE.

Cell lengths 3.4929, 5.0874, 9.7298 Å; angles 90.00, 98.75, 90.00 degrees
Last column: nearest neighbours and their distance in Å.
Fractional positions:
Zn 0.1253 0.2500 0.2044  2 Cl 2.32-2.33
Zn 0.8747 0.7500 0.7956  2 Cl 2.32-2.33
Sn 0.1571 0.2500 0.9253  3 Zn 2.73-2.94
Sn 0.8429 0.7500 0.0747  3 Zn 2.73-2.94
Cl 0.3080 0.7500 0.6358  2 Zn 2.32-2.33
Cl 0.6920 0.2500 0.3642  2 Zn 2.32-2.33

Calculated values
Its crystal system is monoclinic. For the total magnetization, the calculation gives 0.00 μB/f.u.

=====

Number 1: total DFT energy (no corrections) -97.257 eV/cell. Number 2: total DFT energy (no corrections) -16.828 eV/cell.